(one)
# SrCrOs2

A relaxed SrCrOs2 crystal (PBE-GGA, Alexandria).

POSCAR file:
```
SrCrOs2
1.0
-0.793 -2.942 -6.642
4.853 -5.187 1.718
-0.131 -5.753 -1.456
Cr Os Sr
2 4 2
Direct
0.250 0.750 0.500 Cr
0.500 0.500 0.000 Cr
0.875 0.800 0.750 Os
0.200 0.625 0.250 Os
0.550 0.125 0.250 Os
0.375 0.450 0.750 Os
0.000 0.000 0.000 Sr
0.750 0.250 0.500 Sr
```

=====

(two)
# SrCrOs2

A relaxed SrCrOs2 crystal (PBE-GGA, Alexandria).

POSCAR file:
```
SrCrOs2
1.0
-3.092 3.745 -1.066
-4.784 1.355 -0.061
-0.808 2.706 5.079
Os Sr Cr
2 1 1
Direct
0.996 0.996 0.988 Os
0.720 0.720 0.875 Os
0.494 0.494 0.501 Sr
0.290 0.290 0.136 Cr
```

=====

Which of them is most stable? Easy: (two).

=====

(one)
# SrCrOs

A relaxed SrCrOs crystal (PBE-GGA, Alexandria).

POSCAR file:
```
SrCrOs
1.0
-1.765 2.631 2.485
0.677 -3.778 1.218
4.570 1.391 1.773
Cr Os Sr
1 1 1
Direct
0.000 0.000 0.167 Cr
0.667 0.333 0.167 Os
0.333 0.667 0.667 Sr
```

=====

(two)
# SrCrOs

A relaxed SrCrOs crystal (PBE-GGA, Alexandria).

POSCAR file:
```
SrCrOs
1.0
-2.138 2.490 -3.483
-4.744 0.629 0.073
-1.827 4.326 0.926
Os Cr Sr
1 1 1
Direct
0.500 0.500 0.500 Os
0.000 0.000 0.000 Cr
0.750 0.750 0.750 Sr
```

=====

(three)
# SrCrOs

A relaxed SrCrOs crystal (PBE-GGA, Alexandria).

POSCAR file:
```
SrCrOs
1.0
6.205 -0.004 0.005
5.319 3.195 0.008
0.886 0.242 3.190
Sr Cr Os
1 1 1
Direct
0.332 0.332 0.668 Sr
0.059 0.059 0.941 Cr
0.609 0.609 0.391 Os
```

=====

(four)
# SrCrOs

A relaxed SrCrOs crystal (PBE-GGA, Alexandria).

POSCAR file:
```
SrCrOs
1.0
-2.895 2.100 -2.920
-0.937 -1.912 -4.097
-4.175 -1.800 -0.807
Cr Os Sr
1 1 1
Direct
0.500 0.500 0.500 Cr
0.750 0.750 0.750 Os
0.000 0.000 0.000 Sr
```

=====

Which of them is most stable? Easy: (one).

=====

(one)
# TaCr2Os2

A relaxed TaCr2Os2 crystal (PBE-GGA, Alexandria).

POSCAR file:
```
TaCr2Os2
1.0
-4.097 1.842 -5.556
-5.851 -1.108 3.947
0.061 2.670 0.840
Cr Os Ta
4 4 2
Direct
0.867 0.633 0.000 Cr
0.367 0.867 0.000 Cr
0.633 0.133 0.000 Cr
0.133 0.367 0.000 Cr
0.665 0.835 0.500 Os
0.165 0.665 0.500 Os
0.835 0.335 0.500 Os
0.335 0.165 0.500 Os
0.500 0.500 0.000 Ta
0.000 0.000 0.000 Ta
```

=====

(two)
# TaCr2Os2

A relaxed TaCr2Os2 crystal (PBE-GGA, Alexandria).

POSCAR file:
```
TaCr2Os2
1.0
-2.555 5.677 3.714
-5.980 -0.011 -4.097
-1.218 -1.714 1.782
Os Cr Ta
4 4 2
Direct
0.632 0.132 0.000 Os
0.132 0.368 0.000 Os
0.368 0.868 0.000 Os
0.868 0.632 0.000 Os
0.666 0.834 0.500 Cr
0.166 0.666 0.500 Cr
0.834 0.334 0.500 Cr
0.334 0.166 0.500 Cr
0.500 0.500 0.000 Ta
0.000 0.000 0.000 Ta
```

=====

Which of them is most stable? Easy: (one).

=====

(one)
# Ta3CrOs

A relaxed Ta3CrOs crystal (PBE-GGA, Alexandria).

POSCAR file:
```
Ta3CrOs
1.0
4.846 0.000 0.000
0.000 4.846 0.000
0.000 0.000 4.846
Os Ta Cr
1 3 1
Direct
0.000 0.000 0.000 Os
0.000 0.000 0.500 Ta
0.500 0.000 0.000 Ta
0.000 0.500 0.000 Ta
0.500 0.500 0.500 Cr
```

=====

(two)
# Ta3CrOs

A relaxed Ta3CrOs crystal (PBE-GGA, Alexandria).

POSCAR file:
```
Ta3CrOs
1.0
4.509 0.000 0.000
0.000 4.509 0.000
0.000 0.000 4.509
Cr Ta Os
1 3 1
Direct
0.000 0.000 0.000 Cr
0.000 0.000 0.500 Ta
0.500 0.000 0.000 Ta
0.000 0.500 0.000 Ta
0.500 0.500 0.500 Os
```

=====

Which of them is most stable? Easy: (two).

=====

(one)
# CrTc2Os

A relaxed CrTc2Os crystal (PBE-GGA, Alexandria).

POSCAR file:
```
CrTc2Os
1.0
2.710 0.000 0.000
0.000 3.789 0.000
0.000 0.000 5.430
Cr Tc Os
1 2 1
Direct
0.000 0.000 0.504 Cr
0.000 0.000 0.999 Tc
0.500 0.500 0.259 Tc
0.500 0.500 0.737 Os
```

=====

(two)
# CrTc2Os

A relaxed CrTc2Os crystal (PBE-GGA, Alexandria).

POSCAR file:
```
CrTc2Os
1.0
2.663 -0.002 0.000
-1.048 2.448 0.000
0.000 0.000 8.628
Tc Os Cr
2 1 1
Direct
0.000 0.000 0.014 Tc
0.000 0.000 0.486 Tc
0.500 0.500 0.750 Os
0.500 0.500 0.250 Cr
```

=====

(three)
# CrTc2Os

A relaxed CrTc2Os crystal (PBE-GGA, Alexandria).

POSCAR file:
```
CrTc2Os
1.0
3.973 0.000 0.000
0.000 2.691 0.009
0.000 1.951 5.238
Tc Cr Os
2 1 1
Direct
0.000 0.083 0.006 Tc
0.000 0.417 0.494 Tc
0.500 0.250 0.250 Cr
0.500 0.750 0.750 Os
```

=====

(four)
# CrTc2Os

A relaxed CrTc2Os crystal (PBE-GGA, Alexandria).

POSCAR file:
```
CrTc2Os
1.0
-0.476 3.506 -1.227
-3.711 -0.505 -0.006
-2.489 4.319 7.590
Cr Os Tc
2 2 4
Direct
0.250 0.750 0.500 Cr
0.500 0.500 0.000 Cr
0.000 0.000 0.000 Os
0.750 0.250 0.500 Os
0.597 0.125 0.250 Tc
0.875 0.847 0.750 Tc
0.375 0.403 0.750 Tc
0.153 0.625 0.250 Tc
```

=====

Which of them is most stable? Easy: (one).

=====

(one)
# CrTc2Os

A relaxed CrTc2Os crystal (PBE-GGA, Alexandria).

POSCAR file:
```
CrTc2Os
1.0
-2.855 -1.803 -1.810
2.452 -1.217 -2.655
0.675 -3.137 2.060
Os Tc Cr
1 2 1
Direct
0.500 0.000 0.500 Os
0.000 0.000 0.000 Tc
0.000 0.500 0.500 Tc
0.500 0.500 0.000 Cr
```

=====

(two)
# CrTc2Os

A relaxed CrTc2Os crystal (PBE-GGA, Alexandria).

POSCAR file:
```
CrTc2Os
1.0
-4.055 -2.296 0.516
-2.145 -3.783 1.750
-1.347 1.689 4.120
Tc Os Cr
2 1 1
Direct
0.999 0.999 0.998 Tc
0.501 0.501 0.502 Tc
0.250 0.250 0.250 Os
0.750 0.750 0.750 Cr
```

=====

Which of them is most stable? Easy: (one).